Record 1
DFT (PBE) results for an optimized crystal structure of Y2Ga5Pt.

## Properties
For the size of the total moment, the calculation gives 0.000 μB per atom. As for the formation energy: -0.61 eV/atom. Its crystal system is tetragonal. The value obtained for the calculated volume is 153.13 Å³ per cell. Its symmetry is I4mm.

a b c (Å): 6.0070 6.0070 6.0070
angles (deg): 89.89 120.06 120.06
Closest atoms and distances in Å follow each position.
Fractional coordinates of all 8 atoms:
Ga  0.0000  0.2665  0.2665  8 Ga 2.96-3.05, 4 Y 3.00
Ga  0.0000  0.7732  0.2822  6 Ga 2.95-3.05, 2 Pt 2.97-3.04, 4 Y 3.00-3.01
Ga  0.5089  0.2822  0.2822  6 Ga 2.95-3.05, 2 Pt 2.97-3.04, 4 Y 3.00-3.01
Ga  0.4911  0.7732  0.7732  6 Ga 2.95-3.05, 2 Pt 2.97-3.04, 4 Y 3.00-3.01
Ga  0.0000  0.2822  0.7732  6 Ga 2.95-3.05, 2 Pt 2.97-3.04, 4 Y 3.00-3.01
Y  0.5000  0.7782  0.2782  10 Ga 3.00-3.01, 2 Pt 3.00
Y  0.5000  0.2782  0.7782  10 Ga 3.00-3.01, 2 Pt 3.00
Pt  0.0000  0.7884  0.7884  8 Ga 2.97-3.04, 4 Y 3.00



Record 2
DFT (PBE) results for an optimized crystal structure of Y2GaPt4.

## Properties
For the size of the total moment, the calculation gives 0.000 μB per atom. As for the formation energy: -0.55 eV/atom. Its crystal system is tetragonal. The value obtained for the calculated volume is 156.82 Å³ per cell. Its symmetry is I4/mmm.

a b c (Å): 4.6361 4.6361 7.9990
angles (deg): 106.85 106.85 90.00
Closest atoms and distances in Å follow each position.
Fractional coordinates of all 7 atoms:
Pt  0.1705  0.1705  0.3411  1 Ga 2.49, 1 Y 2.74
Pt  0.5000  0.0000  0.0000  2 Ga 2.32
Pt  0.0000  0.5000  0.0000  2 Ga 2.32
Pt  0.8295  0.8295  0.6589  1 Ga 2.49, 1 Y 2.74
Ga  0.0000  0.0000  0.0000  6 Pt 2.32-2.49
Y  0.6415  0.6415  0.2830  1 Pt 2.74
Y  0.3585  0.3585  0.7170  1 Pt 2.74



Record 3
DFT (PBE) results for an optimized crystal structure of YGa3Pt.

## Properties
For the size of the total moment, the calculation gives 0.000 μB per atom. As for the formation energy: -0.75 eV/atom. Its crystal system is orthorhombic. The value obtained for the calculated volume is 381.77 Å³ per cell. Its symmetry is Pnma.

a b c (Å): 4.2275 8.2719 10.9173
angles (deg): 90.00 90.00 90.00
Closest atoms and distances in Å follow each position.
Fractional coordinates of all 20 atoms:
Ga  0.2500  0.5694  0.0899  3 Pt 2.58-2.61, 2 Ga 2.75-2.77
Ga  0.7500  0.1395  0.7884  2 Pt 2.64, 2 Ga 2.75-2.77
Ga  0.7500  0.6068  0.3223  2 Pt 2.51
Ga  0.2500  0.3605  0.2884  2 Pt 2.64, 2 Ga 2.75-2.77
Ga  0.2500  0.8605  0.2116  2 Pt 2.64, 2 Ga 2.75-2.77
Ga  0.7500  0.6395  0.7116  2 Pt 2.64, 2 Ga 2.75-2.77
Ga  0.7500  0.9306  0.5899  3 Pt 2.58-2.61, 2 Ga 2.75-2.77
Ga  0.2500  0.8932  0.8223  2 Pt 2.51
Ga  0.2500  0.3932  0.6777  2 Pt 2.51
Ga  0.7500  0.4306  0.9101  3 Pt 2.58-2.61, 2 Ga 2.75-2.77
Ga  0.7500  0.1068  0.1777  2 Pt 2.51
Ga  0.2500  0.0694  0.4101  3 Pt 2.58-2.61, 2 Ga 2.75-2.77
Y  0.7500  0.3033  0.4822  8 Ga 2.97-3.30, 2 Pt 3.29
Y  0.7500  0.8033  0.0178  8 Ga 2.97-3.30, 2 Pt 3.29
Y  0.2500  0.1967  0.9822  8 Ga 2.97-3.30, 2 Pt 3.29
Y  0.2500  0.6967  0.5178  8 Ga 2.97-3.30, 2 Pt 3.29
Pt  0.7500  0.9079  0.3519  7 Ga 2.51-2.64
Pt  0.2500  0.5921  0.8519  7 Ga 2.51-2.64
Pt  0.7500  0.4079  0.1481  7 Ga 2.51-2.64
Pt  0.2500  0.0921  0.6481  7 Ga 2.51-2.64



Record 4
DFT (PBE) results for an optimized crystal structure of Y3Ga3Pt.

## Properties
For the size of the total moment, the calculation gives 0.000 μB per atom. As for the formation energy: -0.85 eV/atom. Its crystal system is monoclinic. The value obtained for the calculated volume is 313.17 Å³ per cell. Its symmetry is C2/m.

a b c (Å): 4.3387 5.7845 13.6460
angles (deg): 84.42 80.85 67.97
Closest atoms and distances in Å follow each position.
Fractional coordinates of all 14 atoms:
Y  0.3939  0.2876  0.9246  7 Ga 3.05-3.17
Y  0.5301  0.3206  0.6193  7 Ga 3.05-3.34, 4 Pt 3.06-3.38
Y  0.6061  0.7124  0.0754  7 Ga 3.05-3.17
Y  0.4699  0.6794  0.3807  7 Ga 3.05-3.34, 4 Pt 3.06-3.38
Y  0.2611  0.2443  0.2334  2 Pt 3.06, 6 Ga 3.10-3.13
Y  0.7389  0.7557  0.7666  2 Pt 3.06, 6 Ga 3.10-3.13
Ga  0.1388  0.2589  0.4635  3 Pt 2.55-2.76, 1 Ga 2.80
Ga  0.8906  0.1430  0.0757  2 Ga 2.60-2.63
Ga  0.1094  0.8570  0.9243  2 Ga 2.60-2.63
Ga  0.9732  0.8242  0.2293  1 Ga 2.63, 1 Pt 2.66
Ga  0.0268  0.1758  0.7707  1 Ga 2.63, 1 Pt 2.66
Ga  0.8612  0.7411  0.5365  3 Pt 2.55-2.76, 1 Ga 2.80
Pt  0.7528  0.1080  0.3863  4 Ga 2.55-2.76
Pt  0.2472  0.8920  0.6137  4 Ga 2.55-2.76



Record 5
DFT (PBE) results for an optimized crystal structure of Y2Ga2Pt.

## Properties
For the size of the total moment, the calculation gives 0.000 μB per atom. As for the formation energy: -0.37 eV/atom. Its crystal system is tetragonal. The value obtained for the calculated volume is 250.31 Å³ per cell. Its symmetry is P4/mbm.

a b c (Å): 7.4443 7.4443 4.5168
angles (deg): 90.00 90.00 90.00
Closest atoms and distances in Å follow each position.
Fractional coordinates of all 10 atoms:
Y  0.6675  0.1675  0.0000  2 Pt 2.77, 2 Ga 3.08
Y  0.1675  0.3325  0.0000  2 Pt 2.77, 2 Ga 3.08
Y  0.3325  0.8325  0.0000  2 Pt 2.77, 2 Ga 3.08
Y  0.8325  0.6675  0.0000  2 Pt 2.77, 2 Ga 3.08
Ga  0.6338  0.8662  0.5000  1 Ga 2.82, 2 Y 3.08
Ga  0.3662  0.1338  0.5000  1 Ga 2.82, 2 Y 3.08
Ga  0.1338  0.6338  0.5000  1 Ga 2.82, 2 Y 3.08
Ga  0.8662  0.3662  0.5000  1 Ga 2.82, 2 Y 3.08
Pt  0.5000  0.5000  0.0000  4 Y 2.77
Pt  0.0000  0.0000  0.0000  4 Y 2.77



Record 6
DFT (PBE) results for an optimized crystal structure of Y6Ga3Pt.

## Properties
For the size of the total moment, the calculation gives 0.000 μB per atom. As for the formation energy: -0.59 eV/atom. Its crystal system is orthorhombic. The value obtained for the calculated volume is 508.32 Å³ per cell. Its symmetry is Pnnm.

a b c (Å): 5.0342 8.6981 11.6088
angles (deg): 90.00 90.00 90.00
Closest atoms and distances in Å follow each position.
Fractional coordinates of all 20 atoms:
Ga  0.4999  0.1612  0.2632  3 Y 2.91
Ga  0.9999  0.3388  0.7631  3 Y 2.91
Ga  0.0000  0.0000  0.5000  8 Y 2.94-3.10
Ga  0.0001  0.6612  0.2369  3 Y 2.91
Ga  0.5001  0.8388  0.7368  3 Y 2.91
Ga  0.5000  0.5000  0.0000  8 Y 2.94-3.10
Y  0.5003  0.1635  0.9132  2 Pt 3.06, 3 Ga 3.10-3.42, 2 Y 3.42
Y  0.5002  0.1740  0.5857  1 Pt 3.00, 2 Ga 3.10
Y  0.4997  0.8365  0.0868  2 Pt 3.06, 3 Ga 3.10-3.42, 2 Y 3.42
Y  0.5002  0.4951  0.2531  1 Pt 2.87, 4 Ga 2.91-2.94
Y  0.9998  0.6740  0.9143  1 Pt 3.00, 2 Ga 3.10
Y  0.0002  0.3260  0.0857  1 Pt 3.00, 2 Ga 3.10
Y  0.4998  0.8260  0.4143  1 Pt 3.00, 2 Ga 3.10
Y  0.0003  0.3365  0.4132  2 Pt 3.06, 3 Ga 3.10-3.42, 2 Y 3.42
Y  0.9998  0.9951  0.2469  1 Pt 2.87, 4 Ga 2.91-2.94
Y  0.9997  0.6635  0.5868  2 Pt 3.06, 3 Ga 3.10-3.42, 2 Y 3.42
Y  0.0002  0.0049  0.7531  1 Pt 2.87, 4 Ga 2.91-2.94
Y  0.4998  0.5049  0.7469  1 Pt 2.87, 4 Ga 2.91-2.94
Pt  0.5000  0.5000  0.5000  8 Y 2.87-3.06
Pt  0.0000  0.0000  0.0000  8 Y 2.87-3.06



Record 7
DFT (PBE) results for an optimized crystal structure of YGa3Pt.

## Properties
For the size of the total moment, the calculation gives 0.000 μB per atom. As for the formation energy: -0.75 eV/atom. Its crystal system is monoclinic. The value obtained for the calculated volume is 96.23 Å³ per cell. Its symmetry is Cm.

a b c (Å): 4.2308 4.2307 6.1593
angles (deg): 69.83 69.83 90.09
Closest atoms and distances in Å follow each position.
Fractional coordinates of all 5 atoms:
Ga  0.1490  0.4526  0.4065  2 Pt 2.50, 2 Ga 2.66
Ga  0.6491  0.9524  0.4065  2 Pt 2.50, 2 Ga 2.66
Ga  0.7991  0.6026  0.1074  1 Pt 2.43, 4 Ga 2.66
Pt  0.0241  0.8275  0.6554  5 Ga 2.43-2.50
Y  0.3865  0.1900  0.9353  8 Ga 3.12-3.30, 4 Pt 3.33-3.36



Record 8
DFT (PBE) results for an optimized crystal structure of YGaPt4.

## Properties
For the size of the total moment, the calculation gives 0.000 μB per atom. As for the formation energy: -0.76 eV/atom. Its crystal system is cubic. The value obtained for the calculated volume is 109.49 Å³ per cell. Its symmetry is F-43m.

a b c (Å): 5.3699 5.3699 5.3699
angles (deg): 60.00 60.00 60.00
Closest atoms and distances in Å follow each position.
Fractional coordinates of all 6 atoms:
Pt  0.6255  0.1234  0.6255  6 Pt 2.67-2.70
Pt  0.6255  0.6255  0.6255  6 Pt 2.67-2.70
Pt  0.1234  0.6255  0.6255  6 Pt 2.67-2.70
Pt  0.6255  0.6255  0.1234  6 Pt 2.67-2.70
Y  0.2500  0.2500  0.2500  12 Pt 3.15, 4 Ga 3.29
Ga  0.0000  0.0000  0.0000  12 Pt 3.15, 4 Y 3.29